Record 1
The following is a PBE calculation of a relaxed VAuBr2 crystal, from Alexandria.

a = 3.5144 Å, b = 3.5144 Å, c = 30.9980 Å
α = 90.00°, β = 90.00°, γ = 120.00°
Space group R-3m (No. 166, hexagonal axes)
One atom of each set of equivalent atoms:
V (0.0000, 0.0000, 0.0000)
Au (0.0000, 0.0000, 0.5000)
Br (0.0000, 0.0000, 0.3850)

uncorrected formation energy: -0.16 eV/atom
energy relative to the lowest polymorph listed for this composition: 0.0 kJ/mol of atoms
N(E_F): 2.53 states/eV/f.u.

Record 2
The following is a PBE calculation of a relaxed CeCdIn2Hg2 crystal, from Alexandria.

a = 6.0338 Å, b = 6.7461 Å, c = 7.7388 Å
α = 90.00°, β = 92.25°, γ = 90.00°
Space group P2_1/m (No. 11)
One atom of each set of equivalent atoms:
Ce (0.1859, 0.2500, 0.1421)
Cd (0.2800, 0.7500, 0.1360)
In (0.0014, 0.7500, 0.4477)
In (0.4976, 0.7500, 0.4964)
Hg (0.2926, 0.5125, 0.8062)

formation energy: -0.14 eV/atom
N(E_F): 8.84 states/eV/f.u.

Question: Which value of N(E_F) does entry 1 give?
Answer: 2.53 states/eV/f.u.

Question: Which value of N(E_F) does entry 2 give?
Answer: 8.84 states/eV/f.u.

Question: Number 2 is which compound?
Answer: CeCdIn2Hg2